[1]
This record from the Alexandria database describes a geometry-optimized RbLi2ScBr6 structure. The functional is PBE.

a = 6.8229 Å, b = 6.8220 Å, c = 9.1587 Å
α = 68.09°, β = 68.06°, γ = 59.98°
Element x y z (fractional)
Li 0.9856 0.9862 0.0423
Li 0.6465 0.6463 0.0608
Br 0.0563 0.3759 0.8678
Br 0.5761 0.2564 0.2352
Br 0.3759 0.7006 0.8680
Br 0.7008 0.0561 0.8677
Br 0.9315 0.5762 0.2352
Br 0.2564 0.9318 0.2351
Rb 0.8162 0.8160 0.5515
Sc 0.3161 0.3161 0.0515

Values from the calculation:
E_tot in Ry/atom: -0.2779
Space-group type: P-1 (2)

[2]
This record from the Alexandria database describes a geometry-optimized MnW2Cl structure. The functional is PBE.

a = 4.6774 Å, b = 4.6774 Å, c = 4.6774 Å
α = 126.26°, β = 126.26°, γ = 79.46°
Each line ends with the local moment (μB).
Element x y z (fractional)
W 0.2500 0.7500 0.5000  0.44
W 0.0000 0.0000 0.0000  -0.18
Mn 0.7500 0.2500 0.5000  3.52
Cl 0.5000 0.5000 0.0000  0.09

Values from the calculation:
Space-group type: I-4m2 (119)
Energy above the lowest structure with this stoichiometry in eV/f.u.: 3.18

[3]
This record from the Alexandria database describes a geometry-optimized RbPaPb2O6 structure. The functional is PBE.

a = 8.0975 Å, b = 8.1809 Å, c = 8.1809 Å
α = 61.55°, β = 56.97°, γ = 56.97°
Element x y z (fractional)
O 0.7999 0.9894 0.2092
O 0.8255 0.3902 0.3521
O 0.7001 0.7908 0.0106
O 0.2999 0.2092 0.9894
O 0.5952 0.1087 0.6172
O 0.3255 0.3521 0.3902
O 0.0952 0.6172 0.1087
O 0.4048 0.8913 0.3828
O 0.6745 0.6479 0.6098
O 0.2001 0.0106 0.7908
O 0.9048 0.3828 0.8913
O 0.1745 0.6098 0.6479
Pa 0.7500 0.7386 0.2614
Pa 0.2500 0.2614 0.7386
Pb 0.8122 0.7294 0.7276
Pb 0.3122 0.7276 0.7294
Pb 0.6878 0.2724 0.2706
Pb 0.1878 0.2706 0.2724
Rb 0.2500 0.7955 0.2045
Rb 0.7500 0.2045 0.7955

Values from the calculation:
E_tot in Ry/atom: -0.4859
Space-group type: C2/c (15)

[4]
This record from the Alexandria database describes a geometry-optimized Tb6YTm5 structure. The functional is PBE.

a = 6.1155 Å, b = 6.1226 Å, c = 12.1938 Å
α = 99.61°, β = 109.53°, γ = 60.04°
Element x y z (fractional)
Tb 0.1671 0.6657 0.2509
Tb 0.4986 0.0000 0.7491
Tb 0.8327 0.3343 0.2509
Tb 0.1673 0.6657 0.7491
Tb 0.5014 0.0000 0.2509
Tb 0.8329 0.3343 0.7491
Tm 0.3332 0.3335 0.5000
Tm 0.6667 0.6665 0.0000
Tm 0.0000 0.0000 0.5000
Tm 0.6668 0.6665 0.5000
Tm 0.3333 0.3335 0.0000
Y 0.0000 0.0000 0.0000

Values from the calculation:
Formation energy in eV per atom: 0.02
Space-group type: C2/m (12)

[5]
This record from the Alexandria database describes a geometry-optimized Cs2TlBi structure. The functional is PBE.

a = 6.4801 Å, b = 6.4801 Å, c = 6.4801 Å
α = 60.00°, β = 60.00°, γ = 60.00°
Element x y z (fractional)
Tl 0.0000 0.0000 0.0000
Cs 0.7500 0.7500 0.7500
Cs 0.2500 0.2500 0.2500
Bi 0.5000 0.5000 0.5000

Values from the calculation:
Formation energy in eV per atom: -0.12
Space-group type: Fm-3m (225)
Energy above the lowest structure with this stoichiometry in eV/f.u.: 0.76

[6]
This record from the Alexandria database describes a geometry-optimized La5Pm2Nd3 structure. The functional is PBE.

a = 10.3265 Å, b = 10.3300 Å, c = 11.4580 Å
α = 129.56°, β = 129.55°, γ = 65.61°
Element x y z (fractional)
Pm 0.5281 0.2797 0.2478
Pm 0.2197 0.9681 0.2478
Pm 0.7803 0.0319 0.7522
Pm 0.4719 0.7203 0.7522
La 0.4809 0.7309 0.4617
La 0.8800 0.6304 0.7536
La 0.6264 0.8768 0.2464
La 0.5191 0.2691 0.5383
La 0.9741 0.2241 0.4482
La 0.1200 0.3696 0.2464
La 0.7270 0.4770 0.9539
La 0.2730 0.5230 0.0461
La 0.0259 0.7759 0.5518
La 0.3736 0.1232 0.7536
Nd 0.2322 0.9822 0.9644
Nd 0.0288 0.7769 0.2497
Nd 0.2792 0.5273 0.7503
Nd 0.7208 0.4727 0.2497
Nd 0.9712 0.2231 0.7503
Nd 0.7678 0.0178 0.0356

Values from the calculation:
Formation energy in eV per atom: 0.14
Space-group type: C2/c (15)

[7]
This record from the Alexandria database describes a geometry-optimized LaZr9O20 structure. The functional is PBE.

a = 6.4272 Å, b = 7.4262 Å, c = 8.5315 Å
α = 74.77°, β = 77.16°, γ = 70.84°
Each line ends with the local moment (μB).
Element x y z (fractional)
O 0.6312 0.3342 0.4628  0.01
O 0.2053 0.7350 0.2718  0.01
O 0.8003 0.1390 0.0843  0.00
O 0.3112 0.2605 0.2063  0.00
O 0.7088 0.8651 0.3998  0.01
O 0.1152 0.3024 0.9501  0.01
O 0.3718 0.6922 0.5416  0.01
O 0.4144 0.5544 0.8820  0.01
O 0.3199 0.1220 0.5405  0.02
O 0.7378 0.7008 0.7179  0.45
O 0.0143 0.9333 0.6779  0.01
O 0.9085 0.6606 0.9939  0.02
O 0.9266 0.5062 0.3149  0.04
O 0.5424 0.9989 0.8033  0.17
O 0.5728 0.4837 0.1555  0.00
O 0.5254 0.9091 0.1318  0.01
O 0.9882 0.0763 0.3567  0.00
O 0.7886 0.2664 0.7643  0.01
O 0.0598 0.4802 0.5928  0.16
O 0.1632 0.8917 0.9547  0.00
Zr 0.1974 0.5613 0.1148  0.00
Zr 0.9992 0.7780 0.5083  -0.02
Zr 0.3711 0.8494 0.7237  -0.01
Zr 0.9784 0.2604 0.5214  0.00
Zr 0.1844 0.0514 0.1293  0.00
Zr 0.5949 0.1657 0.3160  0.00
Zr 0.7794 0.4518 0.9313  -0.01
Zr 0.8087 0.9633 0.9224  0.00
Zr 0.5889 0.6583 0.3172  0.00
La 0.3920 0.3482 0.7125  0.01

Values from the calculation:
Space-group type: P1 (1)
Energy above the lowest structure with this stoichiometry in eV/f.u.: 0.00

[8]
This record from the Alexandria database describes a geometry-optimized V2SiOs structure. The functional is PBE.

a = 3.9897 Å, b = 3.6548 Å, c = 3.6548 Å
α = 90.00°, β = 90.00°, γ = 90.00°
Element x y z (fractional)
Os 0.5000 0.5000 0.5000
V 0.0000 0.5000 0.0000
V 0.0000 0.0000 0.5000
Si 0.5000 0.0000 0.0000

Values from the calculation:
E_tot in Ry/atom: -0.6644
Space-group type: P4/mmm (123)

| no. | V (Å³/cell) | calculated density (g cm⁻³) |
| --- | --- | --- |
| 1 | 333.06 | 3.1 |
| 2 | 64.31 | 11.8 |
| 3 | 368.35 | 7.5 |
| 4 | 372.79 | 8.4 |
| 5 | 192.41 | 5.9 |
| 6 | 726.52 | 6.5 |
| 7 | 366.99 | 5.8 |
| 8 | 53.29 | 10.0 |